(1)
This record from Alexandria via LeMat-Bulk describes crystalline CaAlZnCu2 at its relaxed geometry. The functional is GGA-PBE.

```
CaAlZnCu2
1.0
3.9564 0.0000 0.0000
0.0000 4.0239 0.0000
0.0000 0.0000 11.2451
Ca Al Zn Cu
2 2 2 4
Direct
0.0000 0.0000 0.0000
0.5000 0.5000 0.5000
0.0000 0.5000 0.7596
0.5000 0.0000 0.2596
0.0000 0.0000 0.6131
0.5000 0.5000 0.1131
0.0000 0.0000 0.3925
0.0000 0.5000 0.2563
0.5000 0.0000 0.7563
0.5000 0.5000 0.8925
```

- calculated density (g/cm3) = 4.82
- total moment (μB/atom) = 0.000
- formation energy (eV/atom) = -0.190
- space group = No. 44


(2)
This record from Alexandria via LeMat-Bulk describes crystalline CaAlZnCu3 at its relaxed geometry. The functional is GGA-PBE.

```
CaAlZnCu3
1.0
3.1421 -6.3057 0.0000
3.1421 6.3057 0.0000
0.0000 0.0000 5.2508
Ca Al Zn Cu
2 2 2 6
Direct
0.2113 0.7887 0.7500
0.7887 0.2113 0.2500
0.4443 0.5557 0.7500
0.5557 0.4443 0.2500
0.1473 0.8527 0.2500
0.8527 0.1473 0.7500
0.1927 0.1927 0.0000
0.1927 0.1927 0.5000
0.3555 0.6445 0.2500
0.6445 0.3555 0.7500
0.8073 0.8073 0.0000
0.8073 0.8073 0.5000
```

- calculated density (g/cm3) = 5.16
- total moment (μB/atom) = 0.000
- formation energy (eV/atom) = -0.032
- space group = No. 63


(3)
This record from Alexandria via LeMat-Bulk describes crystalline Ca2Al4ZnCu3 at its relaxed geometry. The functional is GGA-PBE.

```
Ca2Al4ZnCu3
1.0
4.1849 0.0000 0.0000
0.0000 4.1849 0.0000
0.0000 0.0000 10.5499
Ca Al Zn Cu
2 4 1 3
Direct
0.0000 0.5000 0.2492
0.5000 0.0000 0.7508
0.0000 0.0000 0.0000
0.0000 0.5000 0.6355
0.5000 0.0000 0.3645
0.5000 0.5000 0.0000
0.0000 0.0000 0.5000
0.0000 0.5000 0.8684
0.5000 0.0000 0.1316
0.5000 0.5000 0.5000
```

- calculated density (g/cm3) = 3.99
- total moment (μB/atom) = 0.000
- formation energy (eV/atom) = -0.268
- space group = No. 115


(4)
This record from Alexandria via LeMat-Bulk describes crystalline CaAlZnCu at its relaxed geometry. The functional is GGA-PBE.

```
CaAlZnCu
1.0
7.4653 0.0000 0.0000
0.0000 4.3075 0.0000
-2.4683 0.0000 5.0808
Ca Al Zn Cu
2 2 2 2
Direct
0.0000 0.0000 0.0000
0.5000 0.5000 0.0000
0.0161 0.5000 0.5480
0.5161 0.0000 0.5480
0.3007 0.5000 0.4010
0.8007 0.0000 0.4010
0.1934 0.0000 0.5795
0.6934 0.5000 0.5795
```

- calculated density (g/cm3) = 3.98
- total moment (μB/atom) = 0.000
- formation energy (eV/atom) = -0.251
- space group = No. 8
- energy relative to the lowest polymorph listed for this composition (eV per atom) = 0.000


(5)
This record from Alexandria via LeMat-Bulk describes crystalline Ca2AlZn12Cu3 at its relaxed geometry. The functional is GGA-PBE.

```
Ca2AlZn12Cu3
1.0
4.6019 2.6569 4.2032
-4.6019 2.6569 4.2032
0.0000 -5.3138 4.2032
Ca Al Zn Cu
2 1 12 3
Direct
0.2433 0.2433 0.2433
0.7567 0.7567 0.7567
0.5000 0.5000 0.5000
0.0744 0.0744 0.6521
0.0744 0.6521 0.0744
0.2168 0.6979 0.6979
0.3021 0.3021 0.7832
0.3021 0.7832 0.3021
0.3479 0.9256 0.9256
0.6521 0.0744 0.0744
0.6979 0.2168 0.6979
0.6979 0.6979 0.2168
0.7832 0.3021 0.3021
0.9256 0.3479 0.9256
0.9256 0.9256 0.3479
0.0000 0.5000 0.5000
0.5000 0.0000 0.5000
0.5000 0.5000 0.0000
```

- calculated density (g/cm3) = 5.83
- total moment (μB/atom) = 0.000
- formation energy (eV/atom) = 0.038
- space group = No. 166


(6)
This record from Alexandria via LeMat-Bulk describes crystalline CaDyAl4 at its relaxed geometry. The functional is GGA-PBE.

```
CaDyAl4
1.0
0.0000 3.9617 3.9617
3.9617 0.0000 3.9617
3.9617 3.9617 0.0000
Ca Dy Al
1 1 4
Direct
0.0000 0.0000 0.0000
0.7500 0.7500 0.7500
0.3753 0.3753 0.3753
0.3753 0.3753 0.8740
0.3753 0.8740 0.3753
0.8740 0.3753 0.3753
```

- calculated density (g/cm3) = 4.15
- total moment (μB/atom) = 0.000
- formation energy (eV/atom) = -0.406
- space group = No. 216